{"formula": "ErCoPd", "functional": "PBE", "state": "relaxed", "crystal_system": "cubic", "mass_density_kg_m3": 8951, "sg": "F-43m", "formation_energy_ev_per_atom": -0.047, "lattice": [[-0.917, -1.364, 4.120], [-3.780, 1.245, 1.959], [-3.224, -2.968, 0.688]], "species": ["Pd", "Er", "Co"], "frac_coords": [[0.000, 0.000, 0.000], [0.250, 0.250, 0.250], [0.750, 0.750, 0.750]]}

{"formula": "ErCoSi2Pd", "functional": "PBE", "state": "relaxed", "crystal_system": "tetragonal", "mass_density_kg_m3": 8202, "sg": "I-4m2", "dft_energy_ev_per_atom": -6.361, "lattice": [[1.427, 4.906, 2.520], [-3.943, 3.967, 1.080], [0.784, -5.596, 0.726]], "species": ["Co", "Si", "Si", "Pd", "Er"], "frac_coords": [[0.000, 0.000, 0.000], [0.131, 0.631, 0.500], [0.369, 0.869, 0.500], [0.500, 0.500, 0.000], [0.750, 0.250, 0.500]]}

{"formula": "Er3CoSn3Pd2", "functional": "PBE", "state": "relaxed", "crystal_system": "hexagonal", "mass_density_kg_m3": 10058, "sg": "P-62m", "dft_energy_ev_per_atom": -5.619, "lattice": [[7.628, 0.000, 0.000], [-3.814, 6.606, 0.000], [0.000, 0.000, 3.701]], "species": ["Sn", "Sn", "Sn", "Er", "Er", "Er", "Pd", "Pd", "Co"], "frac_coords": [[0.253, 0.253, 0.500], [0.747, 0.000, 0.500], [0.000, 0.747, 0.500], [0.400, 0.000, 0.000], [0.600, 0.600, 0.000], [0.000, 0.400, 0.000], [0.333, 0.667, 0.500], [0.667, 0.333, 0.500], [0.000, 0.000, 0.000]]}

{"formula": "PrErCo", "functional": "PBE", "state": "relaxed", "crystal_system": "cubic", "mass_density_kg_m3": 8251, "sg": "F-43m", "formation_energy_ev_per_atom": 0.838, "lattice": [[2.651, 1.361, 3.647], [-1.292, 3.712, 2.595], [-1.550, -0.629, 4.403]], "species": ["Er", "Pr", "Co"], "frac_coords": [[0.750, 0.750, 0.750], [0.000, 0.000, 0.000], [0.250, 0.250, 0.250]]}